Pr2PuAs4Rh3 | PBE-GGA | relaxed

Geometry as CIF:
```
data_Pr2PuAs4Rh3
_space_group_name_H-M_alt 'P 1'
_space_group_IT_number 1
_space_group_name_Hall 'P 1'
_cell_length_a 4.343
_cell_length_b 4.343
_cell_length_c 11.035
_cell_angle_alpha 90.00
_cell_angle_beta 90.00
_cell_angle_gamma 90.00
loop_
_atom_site_label
_atom_site_type_symbol
_atom_site_fract_x
_atom_site_fract_y
_atom_site_fract_z
Pr1 Pr 0.000 0.500 0.222
Pr2 Pr 0.500 0.000 0.778
Pu1 Pu 0.000 0.000 0.500
As1 As 0.000 0.000 0.000
As2 As 0.000 0.500 0.668
As3 As 0.500 0.000 0.332
As4 As 0.500 0.500 0.000
Rh1 Rh 0.000 0.500 0.892
Rh2 Rh 0.500 0.000 0.108
Rh3 Rh 0.500 0.500 0.500
```

Computed properties:
- Size of the total moment: 5.059 μB/cell
- Uncorrected energy: -7.303 eV per atom
- D(E_F): 1.44 states/eV per atom
- Formation enthalpy at 0 K: -848.2 meV per atom

***

NdDyPa | PBE-GGA | relaxed

Geometry as CIF:
```
data_NdDyPa
_space_group_name_H-M_alt 'P 1'
_space_group_IT_number 1
_space_group_name_Hall 'P 1'
_cell_length_a 8.132
_cell_length_b 8.132
_cell_length_c 8.132
_cell_angle_alpha 155.77
_cell_angle_beta 155.77
_cell_angle_gamma 34.53
loop_
_atom_site_label
_atom_site_type_symbol
_atom_site_fract_x
_atom_site_fract_y
_atom_site_fract_z
Nd1 Nd 0.000 0.000 0.000
Dy1 Dy 0.691 0.691 0.000
Pa1 Pa 0.343 0.343 0.000
```

Computed properties:
- Size of the total moment: 0.000 μB/cell
- Uncorrected energy: -6.115 eV per atom
- D(E_F): 1.61 states/eV per atom
- Formation enthalpy at 0 K: 173.2 meV per atom
- Excess energy over the best structure of this formula in the dataset: 0.0183 eV per atom

***

Np2HN2O2 | PBE-GGA | relaxed

Geometry as CIF:
```
data_Np2HN2O2
_space_group_name_H-M_alt 'P 1'
_space_group_IT_number 1
_space_group_name_Hall 'P 1'
_cell_length_a 3.678
_cell_length_b 3.678
_cell_length_c 7.616
_cell_angle_alpha 90.00
_cell_angle_beta 90.00
_cell_angle_gamma 120.00
loop_
_atom_site_label
_atom_site_type_symbol
_atom_site_fract_x
_atom_site_fract_y
_atom_site_fract_z
Np1 Np 0.333 0.667 0.192
Np2 Np 0.667 0.333 0.808
H1 H 0.000 0.000 0.500
N1 N 0.333 0.667 0.897
N2 N 0.667 0.333 0.103
O1 O 0.000 0.000 0.340
O2 O 0.000 0.000 0.660
```

Computed properties:
- Size of the total moment: 5.000 μB/cell
- Uncorrected energy: -9.656 eV per atom
- D(E_F): 1.66 states/eV per atom

***

Na3Al2As4 | PBE-GGA | relaxed

Geometry as CIF:
```
data_Na3Al2As4
_space_group_name_H-M_alt 'P 1'
_space_group_IT_number 1
_space_group_name_Hall 'P 1'
_cell_length_a 8.308
_cell_length_b 8.308
_cell_length_c 7.295
_cell_angle_alpha 114.22
_cell_angle_beta 114.22
_cell_angle_gamma 27.77
loop_
_atom_site_label
_atom_site_type_symbol
_atom_site_fract_x
_atom_site_fract_y
_atom_site_fract_z
Na1 Na 0.000 0.000 0.000
Na2 Na 0.150 0.150 0.778
Na3 Na 0.850 0.850 0.222
Al1 Al 0.329 0.329 0.597
Al2 Al 0.671 0.671 0.403
As1 As 0.207 0.207 0.237
As2 As 0.494 0.494 0.657
As3 As 0.506 0.506 0.343
As4 As 0.793 0.793 0.763
```

Computed properties:
- Size of the total moment: 0.000 μB/cell
- Uncorrected energy: -3.783 eV per atom
- D(E_F): 0.23 states/eV per atom
- Formation enthalpy at 0 K: -444.8 meV per atom
- Excess energy over the best structure of this formula in the dataset: 0.0000 eV per atom